No. 1
# KRbBr2 GGA-PBE optimized geometry
data_KRbBr2
_chemical_formula_sum 'K4 Rb4 Br8'
_symmetry_space_group_name_H-M 'I -4 2 d'
_symmetry_Int_Tables_number 122
_symmetry_space_group_name_Hall 'I -4 2bw'
_cell_length_a 7.681
_cell_length_b 7.681
_cell_length_c 14.881
_cell_angle_alpha 90.00
_cell_angle_beta 90.00
_cell_angle_gamma 90.00
loop_
_atom_site_label
_atom_site_type_symbol
_atom_site_fract_x
_atom_site_fract_y
_atom_site_fract_z
K1 K 0.000 0.000 0.000
Rb1 Rb 0.000 0.000 0.500
Br1 Br 0.234 0.250 0.125
# formation energy without anion corrections	-1.66	eV per atom
# electronic total energy	-0.22117	Ry per atom
# density	2.151	g/cm³
# DOS at the Fermi energy	0.000	states/eV per cell


No. 2
# KRb2Br GGA-PBE optimized geometry
data_KRb2Br
_chemical_formula_sum 'K3 Rb6 Br3'
_symmetry_space_group_name_H-M 'R -3 m'
_symmetry_Int_Tables_number 166
_symmetry_space_group_name_Hall '-R 3 2"'
_cell_length_a 4.8150
_cell_length_b 4.8150
_cell_length_c 39.0411
_cell_angle_alpha 90.00
_cell_angle_beta 90.00
_cell_angle_gamma 120.00
loop_
_atom_site_label
_atom_site_type_symbol
_atom_site_fract_x
_atom_site_fract_y
_atom_site_fract_z
K1 K 0.0000 0.0000 0.0000
Rb1 Rb 0.0000 0.0000 0.1124
Br1 Br 0.0000 0.0000 0.5000
# formation energy without anion corrections	-0.80	eV per atom
# electronic total energy	-0.14549	Ry per atom
# density	1.843	g/cm³
# DOS at the Fermi energy	6.095	states/eV per cell